(1)
Entry from the Alexandria database: an optimized crystal structure of Y4BiSe2S (PBE-GGA).

Space group   Cmcm
Formation energy (no corrections)   -1.410 eV per atom

abc: 7.298 7.298 14.748
angles: 90.00 90.00 146.55
Positions (direct):
Y 0.000 0.000 0.000
Y 0.000 0.000 0.500
Y 0.282 0.718 0.614
Y 0.282 0.718 0.886
Y 0.446 0.554 0.250
Y 0.554 0.446 0.750
Y 0.718 0.282 0.114
Y 0.718 0.282 0.386
Bi 0.112 0.888 0.250
Bi 0.888 0.112 0.750
Se 0.368 0.632 0.062
Se 0.368 0.632 0.438
Se 0.632 0.368 0.562
Se 0.632 0.368 0.938
S 0.164 0.836 0.750
S 0.836 0.164 0.250

(2)
Entry from the Alexandria database: an optimized crystal structure of TiV5C3 (PBE-GGA).

ΔH_f (0 K)   -0.47 eV/atom
Space group   C2/m

abc: 5.662 5.662 7.479
angles: 109.94 109.94 72.63
Positions (direct):
Ti 0.103 0.103 0.305
Ti 0.897 0.897 0.695
V 0.039 0.634 0.329
V 0.235 0.235 0.031
V 0.298 0.702 0.000
V 0.366 0.961 0.671
V 0.430 0.430 0.634
V 0.570 0.570 0.366
V 0.634 0.039 0.329
V 0.702 0.298 0.000
V 0.765 0.765 0.969
V 0.961 0.366 0.671
C 0.000 0.000 0.000
C 0.000 0.000 0.500
C 0.333 0.333 0.834
C 0.340 0.340 0.333
C 0.660 0.660 0.667
C 0.667 0.667 0.166

(3)
Entry from the Alexandria database: an optimized crystal structure of Al2BiAu10 (PBE-GGA).

ΔH_f (0 K)   -0.11 eV/atom
Space group   Fmmm

abc: 9.461 7.667 6.849
angles: 81.14 53.19 45.67
Positions (direct):
Al 0.000 0.500 0.000
Al 0.500 0.000 0.500
Bi 0.000 0.000 0.000
Au 0.000 0.000 0.500
Au 0.012 0.320 0.680
Au 0.256 0.487 0.513
Au 0.320 0.012 0.988
Au 0.487 0.256 0.744
Au 0.500 0.500 0.000
Au 0.513 0.744 0.256
Au 0.680 0.988 0.012
Au 0.744 0.513 0.487
Au 0.988 0.680 0.320

(4)
Entry from the Alexandria database: an optimized crystal structure of AgH2Pt2 (PBE-GGA).

Space group   I4_1md
Offset from the most stable computed form   0 meV/atom

abc: 5.636 5.636 5.636
angles: 122.10 122.10 86.39
Positions (direct):
Ag 0.000 0.000 0.000
Ag 0.750 0.250 0.500
H 0.072 0.788 0.284
H 0.504 0.788 0.716
H 0.538 0.322 0.784
H 0.538 0.754 0.216
Pt 0.309 0.564 0.745
Pt 0.314 0.069 0.755
Pt 0.314 0.559 0.245
Pt 0.819 0.564 0.255

(5)
Entry from the Alexandria database: an optimized crystal structure of Tl2FeSb (PBE-GGA).

Space group   P4/mmm
Offset from the most stable computed form   252 meV/atom
Formation energy (no corrections)   0.501 eV per atom

abc: 3.252 3.252 9.039
angles: 90.00 90.00 90.00
Positions (direct):
Tl 0.000 0.000 0.204
Tl 0.000 0.000 0.796
Fe 0.500 0.500 0.000
Sb 0.500 0.500 0.500

(6)
Entry from the Alexandria database: an optimized crystal structure of TlCo2TcC (PBE-GGA).

ΔH_f (0 K)   1.38 eV/atom
Space group   P4/mmm

abc: 4.679 4.679 3.924
angles: 90.00 90.00 90.00
Positions (direct):
Tl 0.000 0.000 0.000
Co 0.000 0.500 0.500
Co 0.500 0.000 0.500
Tc 0.500 0.500 0.500
C 0.500 0.500 0.000

(7)
Entry from the Alexandria database: an optimized crystal structure of UAlRe (PBE-GGA).

ΔH_f (0 K)   0.06 eV/atom
Space group   P3m1
Offset from the most stable computed form   83 meV/atom

abc: 4.704 4.704 2.783
angles: 90.00 90.00 120.00
Positions (direct):
U 0.000 0.000 0.000
Al 0.333 0.667 0.503
Re 0.667 0.333 0.420

(8)
Entry from the Alexandria database: an optimized crystal structure of Be2TlSb2 (PBE-GGA).

Space group   I4/mmm
Formation energy (no corrections)   0.128 eV per atom

abc: 8.529 8.529 8.529
angles: 154.24 154.24 36.76
Positions (direct):
Be 0.250 0.750 0.500
Be 0.750 0.250 0.500
Tl 0.000 0.000 0.000
Sb 0.352 0.352 0.000
Sb 0.648 0.648 0.000